{"formula": "Pm2NdY3N6", "functional": "GGA-PBE", "state": "optimized geometry", "lattice": [[-4.650, 3.957, 0.772], [-1.108, -6.050, -0.194], [2.609, 0.386, 5.565]], "species": ["Pm", "Pm", "Y", "Y", "Y", "N", "N", "N", "N", "N", "N", "Nd"], "fractional_positions": [[0.333, 0.667, 0.000], [0.667, 0.333, 0.000], [0.500, 0.500, 0.500], [0.167, 0.833, 0.500], [0.833, 0.167, 0.500], [0.914, 0.579, 0.742], [0.421, 0.086, 0.258], [0.086, 0.421, 0.258], [0.751, 0.751, 0.258], [0.249, 0.249, 0.742], [0.579, 0.914, 0.742], [0.000, 0.000, 0.000]], "raw_formation_energy_ev_per_atom": -1.539, "e_tot_ev_per_cell": -102.1, "magnetic_moment_mub_per_cell": 0.00, "rho_g_cm3": 6.84}